No. 1
The following is a DFT calculation (PBE-GGA) of a relaxed structure of ReHg3.

Computed properties:
- Calculated density: 14.1 g cm⁻³
- Electronic total energy: -2.826 eV/atom
- N(E_F): 2.02 states/eV/f.u.
- Relative energy among the computed polymorphs: 0.00 eV/f.u.
- Energy of formation from the pure elements: 0.51 eV per atom

The structure in CIF format:
```
data_ReHg3
_cell_length_a 9.392
_cell_length_b 13.357
_cell_length_c 2.967
_cell_angle_alpha 90.00
_cell_angle_beta 90.00
_cell_angle_gamma 90.00
_symmetry_space_group_name_H-M 'C m c m'
_symmetry_Int_Tables_number 63
_symmetry_space_group_name_Hall '-C 2c 2'
loop_
_atom_site_label
_atom_site_type_symbol
_atom_site_fract_x
_atom_site_fract_y
_atom_site_fract_z
Re1 Re 0.000 0.071 0.250
Hg1 Hg 0.000 0.277 0.750
Hg2 Hg 0.240 0.381 0.250
```

No. 2
The following is a DFT calculation (PBE-GGA) of a relaxed structure of Re3Hg.

Computed properties:
- Calculated density: 19.6 g cm⁻³
- Electronic total energy: -8.738 eV/atom
- N(E_F): 3.68 states/eV/f.u.
- Relative energy among the computed polymorphs: 1.11 eV/f.u.
- Energy of formation from the pure elements: 0.67 eV per atom

The structure in CIF format:
```
data_Re3Hg
_cell_length_a 2.883
_cell_length_b 9.240
_cell_length_c 4.825
_cell_angle_alpha 90.00
_cell_angle_beta 90.00
_cell_angle_gamma 90.00
_symmetry_space_group_name_H-M 'I m m 2'
_symmetry_Int_Tables_number 44
loop_
_symmetry_equiv_pos_as_xyz
'x,y,z'
'-x,-y,z'
'-x,y,z'
'x,-y,z'
'x+1/2,y+1/2,z+1/2'
'-x+1/2,-y+1/2,z+1/2'
'-x+1/2,y+1/2,z+1/2'
'x+1/2,-y+1/2,z+1/2'
loop_
_atom_site_label
_atom_site_type_symbol
_atom_site_fract_x
_atom_site_fract_y
_atom_site_fract_z
Re1 Re 0.000 0.000 0.000
Re2 Re 0.000 0.263 0.365
Hg1 Hg 0.000 0.500 0.995
```

No. 3
The following is a DFT calculation (PBE-GGA) of a relaxed structure of Re7Hg.

Computed properties:
- Calculated density: 20.2 g cm⁻³
- Electronic total energy: -10.453 eV/atom
- N(E_F): 10.04 states/eV/f.u.
- Energy of formation from the pure elements: 0.48 eV per atom

The structure in CIF format:
```
data_Re7Hg
_cell_length_a 7.904
_cell_length_b 7.904
_cell_length_c 7.904
_cell_angle_alpha 90.00
_cell_angle_beta 90.00
_cell_angle_gamma 90.00
_symmetry_space_group_name_H-M 'F m -3 m'
_symmetry_Int_Tables_number 225
_symmetry_space_group_name_Hall '-F 4 2 3'
loop_
_atom_site_label
_atom_site_type_symbol
_atom_site_fract_x
_atom_site_fract_y
_atom_site_fract_z
Re1 Re 0.000 0.000 0.000
Re2 Re 0.000 0.250 0.250
Hg1 Hg 0.000 0.000 0.500
```

No. 4
The following is a DFT calculation (PBE-GGA) of a relaxed structure of ReHg3.

Computed properties:
- Calculated density: 16.7 g cm⁻³
- Electronic total energy: -2.575 eV/atom
- N(E_F): 2.60 states/eV/f.u.
- Relative energy among the computed polymorphs: 1.01 eV/f.u.
- Energy of formation from the pure elements: 0.76 eV per atom

The structure in CIF format:
```
data_ReHg3
_cell_length_a 5.956
_cell_length_b 8.892
_cell_length_c 2.959
_cell_angle_alpha 90.00
_cell_angle_beta 90.00
_cell_angle_gamma 90.00
_symmetry_space_group_name_H-M 'C m m m'
_symmetry_Int_Tables_number 65
_symmetry_space_group_name_Hall '-C 2 2'
loop_
_atom_site_label
_atom_site_type_symbol
_atom_site_fract_x
_atom_site_fract_y
_atom_site_fract_z
Re1 Re 0.000 0.000 0.000
Hg1 Hg 0.000 0.500 0.000
Hg2 Hg 0.250 0.250 0.500
```

No. 5
The following is a DFT calculation (PBE-GGA) of a relaxed structure of ReHg3.

Computed properties:
- Calculated density: 16.2 g cm⁻³
- Electronic total energy: -2.485 eV/atom
- N(E_F): 3.47 states/eV/f.u.
- Relative energy among the computed polymorphs: 1.37 eV/f.u.
- Energy of formation from the pure elements: 0.85 eV per atom

The structure in CIF format:
```
data_ReHg3
_cell_length_a 2.890
_cell_length_b 5.282
_cell_length_c 5.277
_cell_angle_alpha 90.00
_cell_angle_beta 90.06
_cell_angle_gamma 90.00
_symmetry_space_group_name_H-M 'P 1 2/m 1'
_symmetry_Int_Tables_number 10
loop_
_symmetry_equiv_pos_as_xyz
'x,y,z'
'-x,-y,-z'
'-x,y,-z'
'x,-y,z'
loop_
_atom_site_label
_atom_site_type_symbol
_atom_site_fract_x
_atom_site_fract_y
_atom_site_fract_z
Re1 Re 0.000 0.000 0.000
Hg1 Hg 0.236 0.500 0.241
Hg2 Hg 0.500 0.000 0.500
```

No. 6
The following is a DFT calculation (PBE-GGA) of a relaxed structure of Re3Hg.

Computed properties:
- Calculated density: 19.7 g cm⁻³
- Electronic total energy: -8.655 eV/atom
- N(E_F): 4.14 states/eV/f.u.
- Relative energy among the computed polymorphs: 1.45 eV/f.u.
- Energy of formation from the pure elements: 0.76 eV per atom

The structure in CIF format:
```
data_Re3Hg
_cell_length_a 5.6768
_cell_length_b 5.6768
_cell_length_c 9.1786
_cell_angle_alpha 90.00
_cell_angle_beta 90.00
_cell_angle_gamma 120.00
_symmetry_space_group_name_H-M 'P 63/m m c'
_symmetry_Int_Tables_number 194
_symmetry_space_group_name_Hall '-P 6c 2c'
loop_
_atom_site_label
_atom_site_type_symbol
_atom_site_fract_x
_atom_site_fract_y
_atom_site_fract_z
Re1 Re 0.0000 0.5000 0.0000
Re2 Re 0.1762 0.3524 0.2500
Hg1 Hg 0.0000 0.0000 0.0000
Hg2 Hg 0.3333 0.6667 0.7500
```